VASP calculation (PBE-GGA) on crystalline NiPbIN2 at its relaxed geometry.

Cell lengths 4.2672, 4.2672, 7.0389 Å; angles 90.00, 90.00, 90.00 degrees
Each line ends with the local moment (μB).
Element x y z (fractional)
Pb1 0.0000 0.0000 0.0000  -0.06
N1 0.0000 0.5000 0.0000  0.78
N2 0.5000 0.0000 0.0000  0.78
Ni1 0.5000 0.5000 0.5000  0.93
I1 0.0000 0.0000 0.5000  0.04

Computed properties:
SG: P4/mmm, No. 123
Crystal system: tetragonal
E_form (uncorrected), meV/atom: 1866